# CaSe

A crystal of CaSe relaxed with PBEsol (SCAN, the Alexandria database).

abc: 4.023 4.027 7.145
angles: 106.37 106.35 90.00
Element x y z (fractional)
Ca1 0.375 0.625 0.750
Ca2 0.625 0.375 0.250
Se1 0.125 0.875 0.250
Se2 0.875 0.125 0.750

M_tot   0.00 μB/cell
SG   I4_1/amd, No. 141
E_form (uncorrected)   -3.680 eV/f.u.